Version w
Material: BaLa2Re
Method: DFT, PBEsol
State: relaxed

The structure in CIF format:
```
data_BaLa2Re
_symmetry_space_group_name_H-M 'I 4/m m m'
_symmetry_Int_Tables_number 139
_symmetry_space_group_name_Hall '-I 4 2'
_cell_length_a 5.309
_cell_length_b 5.309
_cell_length_c 7.543
_cell_angle_alpha 90.00
_cell_angle_beta 90.00
_cell_angle_gamma 90.00
loop_
_atom_site_label
_atom_site_fract_x
_atom_site_fract_y
_atom_site_fract_z
_atom_site_occupancy
Ba1 0.000 0.000 0.000 1
La1 0.000 0.500 0.250 1
Re1 0.000 0.000 0.500 1
```

**Crystal system**: tetragonal
**Spin magnetization**: 0.0000 μB per atom

---

Version x
Material: BaLa2Re
Method: DFT, PBEsol
State: relaxed

The structure in CIF format:
```
data_BaLa2Re
_symmetry_space_group_name_H-M 'R -3 m'
_symmetry_Int_Tables_number 166
_symmetry_space_group_name_Hall '-R 3 2"'
_cell_length_a 4.2352
_cell_length_b 4.2352
_cell_length_c 28.6420
_cell_angle_alpha 90.00
_cell_angle_beta 90.00
_cell_angle_gamma 120.00
loop_
_atom_site_label
_atom_site_fract_x
_atom_site_fract_y
_atom_site_fract_z
_atom_site_occupancy
Ba1 0.0000 0.0000 0.0000 1
La1 0.0000 0.0000 0.2171 1
Re1 0.0000 0.0000 0.5000 1
```

**Crystal system**: trigonal
**Spin magnetization**: 0.0000 μB per atom

---

Most stable to least stable, the ends of the list are version x and version w.

---

Version w
Material: BaLaSc2
Method: DFT, PBEsol
State: relaxed

The structure in CIF format:
```
data_BaLaSc2
_symmetry_space_group_name_H-M 'R -3 m'
_symmetry_Int_Tables_number 166
_symmetry_space_group_name_Hall '-R 3 2"'
_cell_length_a 3.3705
_cell_length_b 3.3705
_cell_length_c 37.2337
_cell_angle_alpha 90.00
_cell_angle_beta 90.00
_cell_angle_gamma 120.00
loop_
_atom_site_label
_atom_site_fract_x
_atom_site_fract_y
_atom_site_fract_z
_atom_site_occupancy
Ba1 0.0000 0.0000 0.0000 1
La1 0.0000 0.0000 0.5000 1
Sc1 0.0000 0.0000 0.4158 1
```

**Crystal system**: trigonal
**Spin magnetization**: 0.0001 μB per atom

---

Version x
Material: BaLaSc2
Method: DFT, PBEsol
State: relaxed

The structure in CIF format:
```
data_BaLaSc2
_symmetry_space_group_name_H-M 'I m m m'
_symmetry_Int_Tables_number 71
_symmetry_space_group_name_Hall '-I 2 2'
_cell_length_a 3.701
_cell_length_b 5.789
_cell_length_c 11.647
_cell_angle_alpha 90.00
_cell_angle_beta 90.00
_cell_angle_gamma 90.00
loop_
_atom_site_label
_atom_site_fract_x
_atom_site_fract_y
_atom_site_fract_z
_atom_site_occupancy
Ba1 0.000 0.000 0.000 1
La1 0.000 0.000 0.500 1
Sc1 0.000 0.500 0.239 1
```

**Crystal system**: orthorhombic
**Spin magnetization**: 0.0001 μB per atom

---

Version y
Material: BaLaSc2
Method: DFT, PBEsol
State: relaxed

The structure in CIF format:
```
data_BaLaSc2
_symmetry_space_group_name_H-M 'A m m 2'
_symmetry_Int_Tables_number 38
_cell_length_a 5.522
_cell_length_b 3.457
_cell_length_c 13.395
_cell_angle_alpha 90.00
_cell_angle_beta 90.00
_cell_angle_gamma 90.00
loop_
_symmetry_equiv_pos_as_xyz
'x,y,z'
'-x,-y,z'
'-x,y,z'
'x,-y,z'
'x,y+1/2,z+1/2'
'-x,-y+1/2,z+1/2'
'-x,y+1/2,z+1/2'
'x,-y+1/2,z+1/2'
loop_
_atom_site_label
_atom_site_fract_x
_atom_site_fract_y
_atom_site_fract_z
_atom_site_occupancy
Ba1 0.000 0.000 0.000 1
La1 0.500 0.000 0.661 1
Sc1 0.000 0.000 0.262 1
Sc2 0.500 0.000 0.374 1
```

**Crystal system**: orthorhombic
**Spin magnetization**: 0.0001 μB per atom

---

Most stable to least stable, the ends of the list are version y and version w.